First-principles (PBE-GGA) data for a relaxed Ho12TlRu6 crystal, as listed in the Alexandria database.

Summary:
Symmetry: Im-3
Energy (eV/atom): -6.245
Volume (A^3/atom): 24.723

a = 8.482 Å, b = 8.482 Å, c = 8.482 Å
α = 109.47°, β = 109.47°, γ = 109.47°
Fractional coordinates of all 19 atoms:
1 Ru 0.375 0.500 0.875
2 Ho 0.195 0.704 0.898
3 Ho 0.898 0.195 0.704
4 Ho 0.805 0.296 0.102
5 Ho 0.102 0.805 0.296
6 Tl 0.000 0.000 0.000
7 Ho 0.195 0.296 0.491
8 Ru 0.500 0.875 0.375
9 Ho 0.491 0.195 0.296
10 Ru 0.625 0.500 0.125
11 Ho 0.296 0.491 0.195
12 Ru 0.875 0.375 0.500
13 Ho 0.805 0.704 0.509
14 Ho 0.704 0.898 0.195
15 Ho 0.704 0.509 0.805
16 Ru 0.500 0.125 0.625
17 Ho 0.296 0.102 0.805
18 Ru 0.125 0.625 0.500
19 Ho 0.509 0.805 0.704